Entry 1:
LaGa2Br: relaxed, PBE.

Cell lengths 6.828, 6.828, 6.828 Å; angles 100.78, 100.78, 128.76 degrees
Fractional coordinates of all 8 atoms:
La: 0.000 0.000 0.000
La: 0.750 0.250 0.500
Ga: 0.123 0.625 0.998
Ga: 0.375 0.373 0.498
Ga: 0.627 0.125 0.002
Ga: 0.875 0.877 0.502
Br: 0.250 0.750 0.500
Br: 0.500 0.500 0.000

Output
Its space-group type is No. 122. The energy relative to the lowest polymorph listed for this composition comes out at 0.000 eV/atom.

Entry 2:
La5GaBr5: relaxed, PBE.

Cell lengths 7.390, 7.390, 8.826 Å; angles 106.86, 106.86, 48.71 degrees
Fractional coordinates of all 11 atoms:
La: 0.000 0.000 0.000
La: 0.327 0.327 0.148
La: 0.339 0.339 0.683
La: 0.661 0.661 0.317
La: 0.673 0.673 0.852
Ga: 0.500 0.500 0.000
Br: 0.152 0.152 0.805
Br: 0.158 0.158 0.346
Br: 0.500 0.500 0.500
Br: 0.842 0.842 0.654
Br: 0.848 0.848 0.195

Output
Its space-group type is No. 12. Its final energy is -4.6205 eV/atom.